1.
Density functional theory data (PBE) for a relaxed structure of RbCa2Ti.

Offset from the most stable computed form, eV per atom: 0.241

CIF file:
```
data_RbCa2Ti
_chemical_formula_sum 'Rb4 Ca8 Ti4'
_cell_length_a 5.294
_cell_length_b 5.294
_cell_length_c 24.762
_cell_angle_alpha 90.00
_cell_angle_beta 90.00
_cell_angle_gamma 90.00
_symmetry_space_group_name_H-M 'I -4 2 d'
_symmetry_Int_Tables_number 122
_symmetry_space_group_name_Hall 'I -4 2bw'
loop_
_atom_site_label
_atom_site_type_symbol
_atom_site_fract_x
_atom_site_fract_y
_atom_site_fract_z
Rb1 Rb 0.000 0.000 0.000
Ca1 Ca 0.224 0.250 0.625
Ti1 Ti 0.000 0.000 0.500
```

---

2.
Density functional theory data (PBE) for a relaxed structure of RbCa3Ti.

Offset from the most stable computed form, eV per atom: 0.907

CIF file:
```
data_RbCa3Ti
_chemical_formula_sum 'Rb1 Ca3 Ti1'
_cell_length_a 5.753
_cell_length_b 5.753
_cell_length_c 5.753
_cell_angle_alpha 90.00
_cell_angle_beta 90.00
_cell_angle_gamma 90.00
_symmetry_space_group_name_H-M 'P m -3 m'
_symmetry_Int_Tables_number 221
_symmetry_space_group_name_Hall '-P 4 2 3'
loop_
_atom_site_label
_atom_site_type_symbol
_atom_site_fract_x
_atom_site_fract_y
_atom_site_fract_z
Rb1 Rb 0.000 0.000 0.000
Ca1 Ca 0.000 0.000 0.500
Ti1 Ti 0.500 0.500 0.500
```

---

3.
Density functional theory data (PBE) for a relaxed structure of Rb2CaTi.

Offset from the most stable computed form, eV per atom: 0.000

CIF file:
```
data_Rb2CaTi
_chemical_formula_sum 'Rb8 Ca4 Ti4'
_cell_length_a 9.285
_cell_length_b 9.285
_cell_length_c 9.285
_cell_angle_alpha 90.00
_cell_angle_beta 90.00
_cell_angle_gamma 90.00
_symmetry_space_group_name_H-M 'F m -3 m'
_symmetry_Int_Tables_number 225
_symmetry_space_group_name_Hall '-F 4 2 3'
loop_
_atom_site_label
_atom_site_type_symbol
_atom_site_fract_x
_atom_site_fract_y
_atom_site_fract_z
Rb1 Rb 0.250 0.250 0.250
Ca1 Ca 0.000 0.000 0.000
Ti1 Ti 0.000 0.000 0.500
```

---

4.
Density functional theory data (PBE) for a relaxed structure of Rb2CaTi.

Offset from the most stable computed form, eV per atom: 0.019

CIF file:
```
data_Rb2CaTi
_chemical_formula_sum 'Rb8 Ca4 Ti4'
_cell_length_a 11.003
_cell_length_b 11.003
_cell_length_c 7.042
_cell_angle_alpha 90.00
_cell_angle_beta 90.00
_cell_angle_gamma 90.00
_symmetry_space_group_name_H-M 'I -4 2 d'
_symmetry_Int_Tables_number 122
_symmetry_space_group_name_Hall 'I -4 2bw'
loop_
_atom_site_label
_atom_site_type_symbol
_atom_site_fract_x
_atom_site_fract_y
_atom_site_fract_z
Rb1 Rb 0.207 0.250 0.125
Ca1 Ca 0.000 0.000 0.500
Ti1 Ti 0.000 0.000 0.000
```

---

Number 1: energy relative to the elements 0.978 eV/atom. Number 2: energy relative to the elements 1.508 eV/atom. Number 3: energy relative to the elements 1.011 eV/atom. Number 4: energy relative to the elements 1.030 eV/atom.